Density functional theory data (PBE) for crystalline SmGdAs at its relaxed geometry.

## Properties
SG: No. 156
Energy of formation in meV per atom: -882
Energy in eV/atom: -8.70
Magnetic moment in μB per cell: 8.25
Volume in Å³/f.u.: 91.7

The structure in CIF format:
```
data_SmGdAs
_cell_length_a 4.020
_cell_length_b 4.020
_cell_length_c 6.556
_cell_angle_alpha 90.00
_cell_angle_beta 90.00
_cell_angle_gamma 120.00
_symmetry_space_group_name_H-M 'P 1'
_symmetry_Int_Tables_number 1
loop_
_symmetry_equiv_pos_as_xyz
'x,y,z'
loop_
_atom_site_label
_atom_site_fract_x
_atom_site_fract_y
_atom_site_fract_z
_atom_site_occupancy
Sm1 0.000 0.000 0.000 1
Gd1 0.333 0.667 0.476 1
As1 0.667 0.333 0.734 1
```

Density functional theory data (PBE) for crystalline Sm2GdAs at its relaxed geometry.

## Properties
SG: No. 166
Energy of formation in meV per atom: -598
Energy in eV/atom: -7.64
Magnetic moment in μB per cell: 26.26
Volume in Å³/f.u.: 129.1
Relative energy among the computed polymorphs in meV per atom: 0.0

The structure in CIF format:
```
data_Sm2GdAs
_cell_length_a 3.965
_cell_length_b 3.965
_cell_length_c 28.449
_cell_angle_alpha 90.00
_cell_angle_beta 90.00
_cell_angle_gamma 120.00
_symmetry_space_group_name_H-M 'P 1'
_symmetry_Int_Tables_number 1
loop_
_symmetry_equiv_pos_as_xyz
'x,y,z'
loop_
_atom_site_label
_atom_site_fract_x
_atom_site_fract_y
_atom_site_fract_z
_atom_site_occupancy
Sm1 0.000 0.000 0.229 1
Sm2 0.000 0.000 0.771 1
Sm3 0.333 0.667 0.438 1
Sm4 0.333 0.667 0.895 1
Sm5 0.667 0.333 0.105 1
Sm6 0.667 0.333 0.562 1
Gd1 0.000 0.000 0.000 1
Gd2 0.333 0.667 0.667 1
Gd3 0.667 0.333 0.333 1
As1 0.000 0.000 0.500 1
As2 0.333 0.667 0.167 1
As3 0.667 0.333 0.833 1
```

Density functional theory data (PBE) for crystalline SmGdAs2 at its relaxed geometry.

## Properties
SG: No. 166
Energy of formation in meV per atom: -1532
Energy in eV/atom: -8.56
Magnetic moment in μB per cell: 20.92
Volume in Å³/f.u.: 104.2

The structure in CIF format:
```
data_SmGdAs2
_cell_length_a 4.193
_cell_length_b 4.193
_cell_length_c 20.523
_cell_angle_alpha 90.00
_cell_angle_beta 90.00
_cell_angle_gamma 120.00
_symmetry_space_group_name_H-M 'P 1'
_symmetry_Int_Tables_number 1
loop_
_symmetry_equiv_pos_as_xyz
'x,y,z'
loop_
_atom_site_label
_atom_site_fract_x
_atom_site_fract_y
_atom_site_fract_z
_atom_site_occupancy
Sm1 0.000 0.000 0.000 1
Sm2 0.333 0.667 0.667 1
Sm3 0.667 0.333 0.333 1
Gd1 0.000 0.000 0.500 1
Gd2 0.333 0.667 0.167 1
Gd3 0.667 0.333 0.833 1
As1 0.000 0.000 0.249 1
As2 0.000 0.000 0.751 1
As3 0.333 0.667 0.418 1
As4 0.333 0.667 0.915 1
As5 0.667 0.333 0.085 1
As6 0.667 0.333 0.582 1
```

Density functional theory data (PBE) for crystalline Sm2GdAs at its relaxed geometry.

## Properties
SG: No. 123
Energy of formation in meV per atom: -547
Energy in eV/atom: -7.59
Magnetic moment in μB per cell: 8.59
Volume in Å³/f.u.: 113.6
Relative energy among the computed polymorphs in meV per atom: 51.0

The structure in CIF format:
```
data_Sm2GdAs
_cell_length_a 3.824
_cell_length_b 3.824
_cell_length_c 7.772
_cell_angle_alpha 90.00
_cell_angle_beta 90.00
_cell_angle_gamma 90.00
_symmetry_space_group_name_H-M 'P 1'
_symmetry_Int_Tables_number 1
loop_
_symmetry_equiv_pos_as_xyz
'x,y,z'
loop_
_atom_site_label
_atom_site_fract_x
_atom_site_fract_y
_atom_site_fract_z
_atom_site_occupancy
Sm1 0.000 0.000 0.202 1
Sm2 0.000 0.000 0.798 1
Gd1 0.500 0.500 0.500 1
As1 0.500 0.500 0.000 1
```

Density functional theory data (PBE) for crystalline GdSn2As at its relaxed geometry.

## Properties
SG: No. 166
Energy of formation in meV per atom: 86
Energy in eV/atom: -6.60
Magnetic moment in μB per cell: 22.68
Volume in Å³/f.u.: 120.5

The structure in CIF format:
```
data_GdSn2As
_cell_length_a 3.750
_cell_length_b 3.750
_cell_length_c 29.670
_cell_angle_alpha 90.00
_cell_angle_beta 90.00
_cell_angle_gamma 120.00
_symmetry_space_group_name_H-M 'P 1'
_symmetry_Int_Tables_number 1
loop_
_symmetry_equiv_pos_as_xyz
'x,y,z'
loop_
_atom_site_label
_atom_site_fract_x
_atom_site_fract_y
_atom_site_fract_z
_atom_site_occupancy
Gd1 0.000 0.000 0.000 1
Gd2 0.333 0.667 0.667 1
Gd3 0.667 0.333 0.333 1
Sn1 0.000 0.000 0.106 1
Sn2 0.000 0.000 0.894 1
Sn3 0.333 0.667 0.561 1
Sn4 0.333 0.667 0.772 1
Sn5 0.667 0.333 0.228 1
Sn6 0.667 0.333 0.439 1
As1 0.000 0.000 0.500 1
As2 0.333 0.667 0.167 1
As3 0.667 0.333 0.833 1
```

Density functional theory data (PBE) for crystalline GdTaAs2 at its relaxed geometry.

## Properties
SG: No. 166
Energy of formation in meV per atom: -842
Energy in eV/atom: -9.65
Magnetic moment in μB per cell: 20.42
Volume in Å³/f.u.: 84.8

The structure in CIF format:
```
data_GdTaAs2
_cell_length_a 3.902
_cell_length_b 3.902
_cell_length_c 19.290
_cell_angle_alpha 90.00
_cell_angle_beta 90.00
_cell_angle_gamma 120.00
_symmetry_space_group_name_H-M 'P 1'
_symmetry_Int_Tables_number 1
loop_
_symmetry_equiv_pos_as_xyz
'x,y,z'
loop_
_atom_site_label
_atom_site_fract_x
_atom_site_fract_y
_atom_site_fract_z
_atom_site_occupancy
Gd1 0.000 0.000 0.000 1
Gd2 0.333 0.667 0.667 1
Gd3 0.667 0.333 0.333 1
Ta1 0.000 0.000 0.500 1
Ta2 0.333 0.667 0.167 1
Ta3 0.667 0.333 0.833 1
As1 0.000 0.000 0.241 1
As2 0.000 0.000 0.759 1
As3 0.333 0.667 0.426 1
As4 0.333 0.667 0.907 1
As5 0.667 0.333 0.093 1
As6 0.667 0.333 0.574 1
```

Density functional theory data (PBE) for crystalline TbGdAs2 at its relaxed geometry.

## Properties
SG: No. 166
Energy of formation in meV per atom: -1540
Energy in eV/atom: -8.54
Magnetic moment in μB per cell: 20.92
Volume in Å³/f.u.: 101.3

The structure in CIF format:
```
data_TbGdAs2
_cell_length_a 4.155
_cell_length_b 4.155
_cell_length_c 20.340
_cell_angle_alpha 90.00
_cell_angle_beta 90.00
_cell_angle_gamma 120.00
_symmetry_space_group_name_H-M 'P 1'
_symmetry_Int_Tables_number 1
loop_
_symmetry_equiv_pos_as_xyz
'x,y,z'
loop_
_atom_site_label
_atom_site_fract_x
_atom_site_fract_y
_atom_site_fract_z
_atom_site_occupancy
Tb1 0.000 0.000 0.000 1
Tb2 0.333 0.667 0.667 1
Tb3 0.667 0.333 0.333 1
Gd1 0.000 0.000 0.500 1
Gd2 0.333 0.667 0.167 1
Gd3 0.667 0.333 0.833 1
As1 0.000 0.000 0.250 1
As2 0.000 0.000 0.750 1
As3 0.333 0.667 0.416 1
As4 0.333 0.667 0.917 1
As5 0.667 0.333 0.083 1
As6 0.667 0.333 0.584 1
```

Density functional theory data (PBE) for crystalline Gd3Te12As5 at its relaxed geometry.

## Properties
SG: No. 230
Energy relative to the elements, uncorrected in eV/atom: -0.419
Energy in eV/atom: -5.58
Magnetic moment in μB per cell: 82.38
Volume in Å³/f.u.: 675.4

The structure in CIF format:
```
data_Gd3Te12As5
_cell_length_a 15.197
_cell_length_b 15.197
_cell_length_c 15.197
_cell_angle_alpha 109.47
_cell_angle_beta 109.47
_cell_angle_gamma 109.47
_symmetry_space_group_name_H-M 'P 1'
_symmetry_Int_Tables_number 1
loop_
_symmetry_equiv_pos_as_xyz
'x,y,z'
loop_
_atom_site_label
_atom_site_fract_x
_atom_site_fract_y
_atom_site_fract_z
_atom_site_occupancy
Gd1 0.125 0.250 0.375 1
Gd2 0.125 0.375 0.750 1
Gd3 0.250 0.375 0.125 1
Gd4 0.250 0.875 0.625 1
Gd5 0.375 0.125 0.250 1
Gd6 0.375 0.750 0.125 1
Gd7 0.625 0.250 0.875 1
Gd8 0.625 0.875 0.750 1
Gd9 0.750 0.125 0.375 1
Gd10 0.750 0.625 0.875 1
Gd11 0.875 0.625 0.250 1
Gd12 0.875 0.750 0.625 1
Te1 0.044 0.214 0.132 1
Te2 0.044 0.330 0.912 1
Te3 0.082 0.714 0.670 1
Te4 0.082 0.868 0.412 1
Te5 0.088 0.632 0.418 1
Te6 0.088 0.956 0.670 1
Te7 0.132 0.044 0.214 1
Te8 0.132 0.588 0.918 1
Te9 0.170 0.214 0.582 1
Te10 0.170 0.456 0.588 1
Te11 0.214 0.132 0.044 1
Te12 0.214 0.582 0.170 1
Te13 0.286 0.330 0.918 1
Te14 0.286 0.456 0.368 1
Te15 0.330 0.912 0.044 1
Te16 0.330 0.918 0.286 1
Te17 0.368 0.286 0.456 1
Te18 0.368 0.582 0.912 1
Te19 0.412 0.082 0.868 1
Te20 0.412 0.830 0.544 1
Te21 0.418 0.088 0.632 1
Te22 0.418 0.830 0.786 1
Te23 0.456 0.368 0.286 1
Te24 0.456 0.588 0.170 1
Te25 0.544 0.412 0.830 1
Te26 0.544 0.632 0.714 1
Te27 0.582 0.170 0.214 1
Te28 0.582 0.912 0.368 1
Te29 0.588 0.170 0.456 1
Te30 0.588 0.918 0.132 1
Te31 0.632 0.418 0.088 1
Te32 0.632 0.714 0.544 1
Te33 0.670 0.082 0.714 1
Te34 0.670 0.088 0.956 1
Te35 0.714 0.544 0.632 1
Te36 0.714 0.670 0.082 1
Te37 0.786 0.418 0.830 1
Te38 0.786 0.868 0.956 1
Te39 0.830 0.544 0.412 1
Te40 0.830 0.786 0.418 1
Te41 0.868 0.412 0.082 1
Te42 0.868 0.956 0.786 1
Te43 0.912 0.044 0.330 1
Te44 0.912 0.368 0.582 1
Te45 0.918 0.132 0.588 1
Te46 0.918 0.286 0.330 1
Te47 0.956 0.670 0.088 1
Te48 0.956 0.786 0.868 1
As1 0.000 0.000 0.000 1
As2 0.000 0.000 0.500 1
As3 0.000 0.500 0.000 1
As4 0.000 0.500 0.500 1
As5 0.125 0.750 0.875 1
As6 0.125 0.875 0.250 1
As7 0.250 0.125 0.875 1
As8 0.250 0.625 0.375 1
As9 0.375 0.250 0.625 1
As10 0.375 0.625 0.750 1
As11 0.500 0.000 0.000 1
As12 0.500 0.000 0.500 1
As13 0.500 0.500 0.000 1
As14 0.500 0.500 0.500 1
As15 0.625 0.375 0.250 1
As16 0.625 0.750 0.375 1
As17 0.750 0.375 0.625 1
As18 0.750 0.875 0.125 1
As19 0.875 0.125 0.750 1
As20 0.875 0.250 0.125 1
```

Density functional theory data (PBE) for crystalline GdTe2As at its relaxed geometry.

## Properties
SG: No. 166
Energy relative to the elements, uncorrected in eV/atom: -0.066
Energy in eV/atom: -6.32
Magnetic moment in μB per cell: 21.74
Volume in Å³/f.u.: 135.3

The structure in CIF format:
```
data_GdTe2As
_cell_length_a 4.067
_cell_length_b 4.067
_cell_length_c 28.337
_cell_angle_alpha 90.00
_cell_angle_beta 90.00
_cell_angle_gamma 120.00
_symmetry_space_group_name_H-M 'P 1'
_symmetry_Int_Tables_number 1
loop_
_symmetry_equiv_pos_as_xyz
'x,y,z'
loop_
_atom_site_label
_atom_site_fract_x
_atom_site_fract_y
_atom_site_fract_z
_atom_site_occupancy
Gd1 0.000 0.000 0.000 1
Gd2 0.333 0.667 0.667 1
Gd3 0.667 0.333 0.333 1
Te1 0.000 0.000 0.108 1
Te2 0.000 0.000 0.892 1
Te3 0.333 0.667 0.559 1
Te4 0.333 0.667 0.774 1
Te5 0.667 0.333 0.226 1
Te6 0.667 0.333 0.441 1
As1 0.000 0.000 0.500 1
As2 0.333 0.667 0.167 1
As3 0.667 0.333 0.833 1
```

Density functional theory data (PBE) for crystalline GdThAs at its relaxed geometry.

## Properties
SG: No. 156
Energy of formation in meV per atom: -757
Energy in eV/atom: -9.47
Magnetic moment in μB per cell: 8.37
Volume in Å³/f.u.: 91.2

The structure in CIF format:
```
data_GdThAs
_cell_length_a 3.986
_cell_length_b 3.986
_cell_length_c 6.625
_cell_angle_alpha 90.00
_cell_angle_beta 90.00
_cell_angle_gamma 120.00
_symmetry_space_group_name_H-M 'P 1'
_symmetry_Int_Tables_number 1
loop_
_symmetry_equiv_pos_as_xyz
'x,y,z'
loop_
_atom_site_label
_atom_site_fract_x
_atom_site_fract_y
_atom_site_fract_z
_atom_site_occupancy
Gd1 0.000 0.000 0.000 1
Th1 0.667 0.333 0.543 1
As1 0.333 0.667 0.262 1
```

Number 1: DOS(E_F) 3.1 states/eV/f.u.. Number 2: DOS(E_F) 5.9 states/eV/f.u.. Number 3: DOS(E_F) 0.4 states/eV/f.u.. Number 4: DOS(E_F) 4.7 states/eV/f.u.. Number 5: DOS(E_F) 5.2 states/eV/f.u.. Number 6: DOS(E_F) 2.0 states/eV/f.u.. Number 7: DOS(E_F) 0.4 states/eV/f.u.. Number 8: DOS(E_F) 10.6 states/eV/f.u.. Number 9: DOS(E_F) 5.1 states/eV/f.u.. Number 10: DOS(E_F) 3.4 states/eV/f.u..